(1)
Compound: ThNi4Ir
Source: Alexandria
Functional: PBE
Structure: optimized geometry

Values from the calculation:
* ΔE to the lowest computed polymorph: 1913.6 meV/atom
* SG: F-43m (216)
* volume: 24.40 A^3/atom
* final energy: -4.9510 eV per atom
* density of states at the Fermi level: 1.656 states/eV/atom
* E_form: 1.6167 eV/atom
* magnetic moment: 1.2 Bohr magnetons per cell

Lattice parameters (Å, degrees): 5.916 5.916 5.916 60.00 60.00 60.00
Fractional positions:
Th1 0.000 0.000 0.000
Ni1 0.460 0.847 0.847
Ni2 0.847 0.460 0.847
Ni3 0.847 0.847 0.460
Ni4 0.847 0.847 0.847
Ir1 0.250 0.250 0.250


(2)
Compound: ThNi4Ir
Source: Alexandria
Functional: PBE
Structure: optimized geometry

Values from the calculation:
* ΔE to the lowest computed polymorph: 0.0 meV/atom
* SG: F-43m (216)
* volume: 14.36 A^3/atom
* final energy: -6.8646 eV per atom
* density of states at the Fermi level: 1.345 states/eV/atom
* E_form: -0.2970 eV/atom
* magnetic moment: 0.8 Bohr magnetons per cell

Lattice parameters (Å, degrees): 4.958 4.958 4.958 60.00 60.00 60.00
Fractional positions:
Th1 0.000 0.000 0.000
Ni1 0.131 0.623 0.623
Ni2 0.623 0.131 0.623
Ni3 0.623 0.623 0.131
Ni4 0.623 0.623 0.623
Ir1 0.250 0.250 0.250


(3)
Compound: ThNiIr2
Source: Alexandria
Functional: PBE
Structure: optimized geometry

Values from the calculation:
* ΔE to the lowest computed polymorph: 155.1 meV/atom
* SG: P4/mmm (123)
* volume: 17.31 A^3/atom
* final energy: -8.2338 eV per atom
* density of states at the Fermi level: 1.179 states/eV/atom
* E_form: -0.5030 eV/atom
* magnetic moment: 0.0 Bohr magnetons per cell

Lattice parameters (Å, degrees): 4.105 4.105 4.109 90.00 90.00 90.00
Fractional positions:
Th1 0.000 0.000 0.000
Ni1 0.500 0.500 0.000
Ir1 0.000 0.500 0.500
Ir2 0.500 0.000 0.500


(4)
Compound: Th3Ni8Ir
Source: Alexandria
Functional: PBE
Structure: optimized geometry

Values from the calculation:
* SG: R3m (160)
* volume: 15.54 A^3/atom
* final energy: -6.8439 eV per atom
* density of states at the Fermi level: 1.007 states/eV/atom
* E_form: -0.3963 eV/atom
* magnetic moment: 0.0 Bohr magnetons per cell

Lattice parameters (Å, degrees): 8.910 8.910 8.910 32.97 32.97 32.97
Fractional positions:
Th1 0.000 0.000 0.000
Th2 0.131 0.131 0.131
Th3 0.604 0.604 0.604
Ni1 0.056 0.056 0.565
Ni2 0.056 0.565 0.056
Ni3 0.060 0.559 0.559
Ni4 0.309 0.309 0.309
Ni5 0.559 0.060 0.559
Ni6 0.559 0.559 0.060
Ni7 0.565 0.056 0.056
Ni8 0.808 0.808 0.808
Ir1 0.488 0.488 0.488


(5)
Compound: Th2Ni2Ir
Source: Alexandria
Functional: PBE
Structure: optimized geometry

Values from the calculation:
* SG: P4/mbm (127)
* volume: 19.46 A^3/atom
* final energy: -7.6463 eV per atom
* density of states at the Fermi level: 0.790 states/eV/atom
* E_form: -0.5937 eV/atom
* magnetic moment: 0.0 Bohr magnetons per cell

Lattice parameters (Å, degrees): 7.213 7.213 3.740 90.00 90.00 90.00
Fractional positions:
Th1 0.184 0.316 0.000
Th2 0.316 0.816 0.000
Th3 0.684 0.184 0.000
Th4 0.816 0.684 0.000
Ni1 0.122 0.622 0.500
Ni2 0.378 0.122 0.500
Ni3 0.622 0.878 0.500
Ni4 0.878 0.378 0.500
Ir1 0.000 0.000 0.500
Ir2 0.500 0.500 0.500


(6)
Compound: ThNiIr
Source: Alexandria
Functional: PBE
Structure: optimized geometry

Values from the calculation:
* SG: Cmcm (63)
* volume: 19.87 A^3/atom
* final energy: -7.7660 eV per atom
* density of states at the Fermi level: 1.087 states/eV/atom
* E_form: -0.4119 eV/atom
* magnetic moment: 0.0 Bohr magnetons per cell

Lattice parameters (Å, degrees): 8.290 8.290 3.904 90.00 90.00 153.61
Fractional positions:
Th1 0.123 0.877 0.750
Th2 0.877 0.123 0.250
Ni1 0.463 0.537 0.750
Ni2 0.537 0.463 0.250
Ir1 0.305 0.695 0.750
Ir2 0.695 0.305 0.250


(7)
Compound: ThNi8Ir2
Source: Alexandria
Functional: PBE
Structure: optimized geometry

Values from the calculation:
* SG: P4/mmm (123)
* volume: 16.43 A^3/atom
* final energy: -6.0605 eV per atom
* density of states at the Fermi level: 1.424 states/eV/atom
* E_form: 0.4298 eV/atom
* magnetic moment: 0.0 Bohr magnetons per cell

Lattice parameters (Å, degrees): 4.714 4.714 8.136 90.00 90.00 90.00
Fractional positions:
Th1 0.000 0.000 0.000
Ni1 0.251 0.251 0.274
Ni2 0.251 0.251 0.726
Ni3 0.251 0.749 0.274
Ni4 0.251 0.749 0.726
Ni5 0.749 0.251 0.274
Ni6 0.749 0.251 0.726
Ni7 0.749 0.749 0.274
Ni8 0.749 0.749 0.726
Ir1 0.000 0.500 0.500
Ir2 0.500 0.000 0.500


(8)
Compound: Th2Ni5Ir5
Source: Alexandria
Functional: PBE
Structure: optimized geometry

Values from the calculation:
* ΔE to the lowest computed polymorph: 0.0 meV/atom
* SG: Pmmm (47)
* volume: 15.96 A^3/atom
* final energy: -7.8704 eV per atom
* density of states at the Fermi level: 0.814 states/eV/atom
* E_form: -0.5328 eV/atom
* magnetic moment: 0.0 Bohr magnetons per cell

Lattice parameters (Å, degrees): 4.070 5.297 8.887 90.00 90.00 90.00
Fractional positions:
Th1 0.000 0.000 0.000
Th2 0.000 0.500 0.500
Ni1 0.000 0.000 0.333
Ni2 0.000 0.000 0.667
Ni3 0.000 0.500 0.157
Ni4 0.000 0.500 0.843
Ni5 0.500 0.500 0.000
Ir1 0.500 0.000 0.500
Ir2 0.500 0.253 0.245
Ir3 0.500 0.253 0.755
Ir4 0.500 0.747 0.245
Ir5 0.500 0.747 0.755